1.
# Ta2ReSe, optimized geometry, DFT PBE-GGA
data_Ta2ReSe
_chemical_formula_sum 'Ta4 Re2 Se2'
_cell_length_a 4.325
_cell_length_b 4.325
_cell_length_c 7.310
_cell_angle_alpha 90.00
_cell_angle_beta 90.00
_cell_angle_gamma 90.00
_space_group_name_H-M_alt 'I 4/m m m'
_space_group_IT_number 139
_space_group_name_Hall '-I 4 2'
loop_
_atom_site_label
_atom_site_fract_x
_atom_site_fract_y
_atom_site_fract_z
Ta1 0.000 0.500 0.250
Re1 0.000 0.000 0.000
Se1 0.000 0.000 0.500
# Raw total energy, eV/atom: -9.6719
# Energy relative to the elements, uncorrected, meV/atom: 238
# Crystal system: tetragonal

=====

2.
# TaReSe2, optimized geometry, DFT PBE-GGA
data_TaReSe2
_chemical_formula_sum 'Ta1 Re1 Se2'
_cell_length_a 4.051
_cell_length_b 3.239
_cell_length_c 7.440
_cell_angle_alpha 90.00
_cell_angle_beta 101.02
_cell_angle_gamma 90.00
_space_group_name_H-M_alt 'P 1 m 1'
_space_group_IT_number 6
_space_group_name_Hall 'P -2y'
loop_
_atom_site_label
_atom_site_fract_x
_atom_site_fract_y
_atom_site_fract_z
Ta1 0.000 0.000 0.000
Re1 0.428 0.500 0.873
Se1 0.104 0.000 0.653
Se2 0.391 0.500 0.215
# Raw total energy, eV/atom: -7.9597
# Energy relative to the elements, uncorrected, meV/atom: -142
# Energy above the most stable polymorph in this dataset, meV/atom: 68
# Crystal system: monoclinic

=====

3.
# Ta2ReSe, optimized geometry, DFT PBE-GGA
data_Ta2ReSe
_chemical_formula_sum 'Ta4 Re2 Se2'
_cell_length_a 3.351
_cell_length_b 4.929
_cell_length_c 8.349
_cell_angle_alpha 90.00
_cell_angle_beta 90.00
_cell_angle_gamma 90.00
_space_group_name_H-M_alt 'C m m m'
_space_group_IT_number 65
_space_group_name_Hall '-C 2 2'
loop_
_atom_site_label
_atom_site_fract_x
_atom_site_fract_y
_atom_site_fract_z
Ta1 0.000 0.000 0.249
Re1 0.000 0.500 0.000
Se1 0.000 0.500 0.500
# Raw total energy, eV/atom: -9.8157
# Energy relative to the elements, uncorrected, meV/atom: 94
# Crystal system: orthorhombic

=====

4.
# TaReSe2, optimized geometry, DFT PBE-GGA
data_TaReSe2
_chemical_formula_sum 'Ta2 Re2 Se4'
_cell_length_a 3.053
_cell_length_b 5.649
_cell_length_c 8.311
_cell_angle_alpha 90.00
_cell_angle_beta 90.00
_cell_angle_gamma 90.00
_space_group_name_H-M_alt 'C m m m'
_space_group_IT_number 65
_space_group_name_Hall '-C 2 2'
loop_
_atom_site_label
_atom_site_fract_x
_atom_site_fract_y
_atom_site_fract_z
Ta1 0.000 0.000 0.000
Re1 0.000 0.000 0.500
Se1 0.000 0.500 0.258
# Raw total energy, eV/atom: -7.1862
# Energy relative to the elements, uncorrected, meV/atom: 631
# Energy above the most stable polymorph in this dataset, meV/atom: 841
# Crystal system: orthorhombic

=====

5.
# TaReSe6, optimized geometry, DFT PBE-GGA
data_TaReSe6
_chemical_formula_sum 'Ta1 Re1 Se6'
_cell_length_a 6.062
_cell_length_b 6.336
_cell_length_c 6.343
_cell_angle_alpha 68.50
_cell_angle_beta 63.07
_cell_angle_gamma 63.01
_space_group_name_H-M_alt 'P -1'
_space_group_IT_number 2
_space_group_name_Hall '-P 1'
loop_
_atom_site_label
_atom_site_fract_x
_atom_site_fract_y
_atom_site_fract_z
Ta1 0.000 0.000 0.000
Re1 0.500 0.500 0.500
Se1 0.050 0.746 0.745
Se2 0.351 0.637 0.154
Se3 0.357 0.149 0.644
# Raw total energy, eV/atom: -5.8274
# Energy relative to the elements, uncorrected, meV/atom: -176
# Crystal system: triclinic

=====

6.
# Ta2ReSe, optimized geometry, DFT PBE-GGA
data_Ta2ReSe
_chemical_formula_sum 'Ta2 Re1 Se1'
_cell_length_a 3.135
_cell_length_b 3.135
_cell_length_c 7.005
_cell_angle_alpha 90.00
_cell_angle_beta 90.00
_cell_angle_gamma 90.00
_space_group_name_H-M_alt 'P 4/m m m'
_space_group_IT_number 123
_space_group_name_Hall '-P 4 2'
loop_
_atom_site_label
_atom_site_fract_x
_atom_site_fract_y
_atom_site_fract_z
Ta1 0.000 0.000 0.232
Re1 0.500 0.500 0.000
Se1 0.500 0.500 0.500
# Raw total energy, eV/atom: -9.9983
# Energy relative to the elements, uncorrected, meV/atom: -89
# Crystal system: tetragonal

=====

7.
# Ta2ReSe, optimized geometry, DFT PBE-GGA
data_Ta2ReSe
_chemical_formula_sum 'Ta4 Re2 Se2'
_cell_length_a 9.798
_cell_length_b 3.176
_cell_length_c 4.560
_cell_angle_alpha 90.00
_cell_angle_beta 105.62
_cell_angle_gamma 90.00
_space_group_name_H-M_alt 'C 1 m 1'
_space_group_IT_number 8
_space_group_name_Hall 'C -2y'
loop_
_atom_site_label
_atom_site_fract_x
_atom_site_fract_y
_atom_site_fract_z
Ta1 0.000 0.000 0.000
Ta2 0.220 0.000 0.641
Re1 0.490 0.000 0.505
Se1 0.255 0.500 0.162
# Raw total energy, eV/atom: -9.8442
# Energy relative to the elements, uncorrected, meV/atom: 65
# Crystal system: monoclinic

=====

8.
# Ta2ReSe, optimized geometry, DFT PBE-GGA
data_Ta2ReSe
_chemical_formula_sum 'Ta4 Re2 Se2'
_cell_length_a 3.332
_cell_length_b 4.883
_cell_length_c 8.339
_cell_angle_alpha 90.00
_cell_angle_beta 90.00
_cell_angle_gamma 90.00
_space_group_name_H-M_alt 'I m m m'
_space_group_IT_number 71
_space_group_name_Hall '-I 2 2'
loop_
_atom_site_label
_atom_site_fract_x
_atom_site_fract_y
_atom_site_fract_z
Ta1 0.000 0.000 0.243
Re1 0.000 0.500 0.000
Se1 0.000 0.500 0.500
# Raw total energy, eV/atom: -9.7689
# Energy relative to the elements, uncorrected, meV/atom: 141
# Crystal system: orthorhombic

=====

Calculated Fermi-level density of states (states/eV/atom), listed in the same order as above: 0.785; 0.071; 0.734; 0.633; 0.530; 0.948; 0.617; 0.562
Calculated size of the total moment (μB/f.u.), listed in the same order as above: 0.00; 0.00; 0.00; 0.00; 0.00; 0.00; 0.00; 0.00